1.
Tl2AsSe: optimized geometry, PBE-GGA.

a b c (Å): 6.574 8.230 3.844
angles (deg): 90.00 90.00 90.00
Space group Cmmm (No. 65)
Asymmetric unit:
Tl: 0.250 0.250 0.000 [4 per cell]
As: 0.000 0.000 0.500 [2 per cell]
Se: 0.000 0.500 0.500 [2 per cell]

Offset from the most stable computed form (eV per formula unit): 0.67
ΔE_f (raw) (eV/f.u.): 0.4
Energy (eV per atom): -3.11

***

2.
Tl2AsSe: optimized geometry, PBE-GGA.

a b c (Å): 6.519 6.519 13.252
angles (deg): 90.00 90.00 90.00
Space group I-42d (No. 122)
Asymmetric unit:
Tl: 0.236 0.250 0.125 [8 per cell]
As: 0.000 0.000 0.000 [4 per cell]
Se: 0.000 0.000 0.500 [4 per cell]

Offset from the most stable computed form (eV per formula unit): 0.12
ΔE_f (raw) (eV/f.u.): -0.1
Energy (eV per atom): -3.25

***

3.
Tl2As2Se: optimized geometry, PBE-GGA.

a b c (Å): 3.797 3.797 18.428
angles (deg): 90.00 90.00 90.00
Space group I4/mmm (No. 139)
Asymmetric unit:
Tl: 0.000 0.000 0.094 [4 per cell]
As: 0.000 0.500 0.250 [4 per cell]
Se: 0.000 0.000 0.500 [2 per cell]

Offset from the most stable computed form (eV per formula unit): 0.00
ΔE_f (raw) (eV/f.u.): 0.1
Energy (eV per atom): -3.49

***

Which of these has the highest ΔE_f (raw)?
number 1